The following is a DFT calculation (meta-GGA SCAN) of a PBEsol-optimized structure of MgCuOs2.

Output
Final energy   -40.872 eV per atom
Volume   14.2 Å³ per atom

Structure (POSCAR):
```
MgCuOs2
1.0
2.762 0.000 0.064
0.000 3.737 0.000
-0.124 0.000 5.502
Cu Os Mg
1 2 1
Cartesian
2.699 0.000 2.847
-0.004 0.000 0.177
1.352 1.868 1.304
1.291 1.868 4.052
```

The following is a DFT calculation (meta-GGA SCAN) of a PBEsol-optimized structure of MgCuOs2.

Output
Final energy   -40.794 eV per atom
Volume   13.8 Å³ per atom

Structure (POSCAR):
```
MgCuOs2
1.0
4.082 0.000 0.000
-2.041 3.881 0.029
0.000 2.121 3.488
Mg Os Cu
1 2 1
Cartesian
2.041 3.531 2.630
0.000 0.000 0.000
0.000 2.471 0.886
2.041 1.060 1.744
```

The following is a DFT calculation (meta-GGA SCAN) of a PBEsol-optimized structure of Mg2CuOs.

Output
Final energy   -23.954 eV per atom
Volume   15.5 Å³ per atom

Structure (POSCAR):
```
Mg2CuOs
1.0
2.727 -0.012 0.000
-0.994 2.539 0.000
0.000 0.000 8.947
Mg Os Cu
2 1 1
Cartesian
0.866 1.264 6.533
0.000 0.000 0.218
0.000 0.000 4.354
0.866 1.264 2.316
```

The following is a DFT calculation (meta-GGA SCAN) of a PBEsol-optimized structure of MgCu2OsPt.

Output
Final energy   -33.966 eV per atom
Volume   15.7 Å³ per atom

Structure (POSCAR):
```
MgCu2OsPt
1.0
-1.159 2.824 -2.891
0.728 -2.812 -3.039
-4.200 -1.414 0.302
Os Mg Cu Pt
1 1 2 1
Cartesian
-2.315 -0.701 -2.814
0.000 0.000 0.000
0.364 -1.406 -1.519
-0.580 1.412 -1.445
-2.100 -0.707 0.151
```

The following is a DFT calculation (meta-GGA SCAN) of a PBEsol-optimized structure of MgCuP2.

Output
Final energy   -10.074 eV per atom
Volume   14.6 Å³ per atom

Structure (POSCAR):
```
MgCuP2
1.0
-0.831 -3.109 2.396
4.405 1.359 -0.068
-2.506 2.305 2.123
Mg P Cu
1 2 1
Cartesian
0.000 0.000 0.000
0.953 -1.076 2.294
0.116 1.631 2.157
-1.668 -0.402 2.259
```

The following is a DFT calculation (meta-GGA SCAN) of a PBEsol-optimized structure of Mg2Cu3P.

Output
Final energy   -11.285 eV per atom
Volume   13.6 Å³ per atom

Structure (POSCAR):
```
Mg2Cu3P
1.0
-4.779 0.983 0.868
2.005 -4.214 1.667
1.913 3.505 6.561
Cu Mg P
6 4 2
Cartesian
1.304 1.370 5.632
-3.153 0.980 2.643
-0.062 -0.221 6.880
-0.800 0.496 2.216
-2.166 -1.095 3.464
2.292 -0.706 6.453
-0.136 -2.262 1.812
-1.441 1.224 4.826
-0.725 2.536 7.284
0.580 -0.949 4.269
0.000 0.000 0.000
0.956 1.753 3.281
```

The following is a DFT calculation (meta-GGA SCAN) of a PBEsol-optimized structure of MgCuP2S.

Output
Formation energy from raw total energies   5.3 eV/f.u.
Volume   20.4 Å³ per atom

Structure (POSCAR):
```
MgCuP2S
1.0
4.630 0.000 0.000
0.000 4.694 0.000
0.000 0.000 4.694
Mg P Cu S
1 2 1 1
Cartesian
0.000 0.000 0.000
0.000 2.347 0.000
0.000 0.000 2.347
2.315 2.347 2.347
2.315 0.000 0.000
```

The following is a DFT calculation (meta-GGA SCAN) of a PBEsol-optimized structure of MgCuPS2.

Output
Formation energy from raw total energies   1.4 eV/f.u.
Volume   18.5 Å³ per atom

Structure (POSCAR):
```
MgCuPS2
1.0
-3.054 2.435 1.542
-1.576 -3.601 2.565
2.810 1.286 3.533
Mg S Cu P
1 2 1 1
Cartesian
-0.910 0.060 3.820
1.405 0.643 1.767
-0.788 -1.801 1.282
0.000 0.000 0.000
-1.527 1.217 0.771
```

The following is a DFT calculation (meta-GGA SCAN) of a PBEsol-optimized structure of Mg2CuPb.

Output
Final energy   -25.231 eV per atom
Volume   19.8 Å³ per atom

Structure (POSCAR):
```
Mg2CuPb
1.0
-1.512 -2.692 2.910
3.342 0.810 2.485
-3.121 4.228 -0.804
Pb Cu Mg
1 1 2
Cartesian
0.915 -0.941 2.698
0.568 2.049 2.190
0.000 0.000 0.000
-1.859 0.298 2.402
```

The following is a DFT calculation (meta-GGA SCAN) of a PBEsol-optimized structure of Mg2CuPb.

Output
Final energy   -25.337 eV per atom
Volume   20.1 Å³ per atom

Structure (POSCAR):
```
Mg2CuPb
1.0
3.230 0.000 0.000
0.000 3.230 0.000
0.000 0.000 7.718
Cu Mg Pb
1 2 1
Cartesian
1.615 1.615 3.859
0.000 0.000 5.351
0.000 0.000 2.367
1.615 1.615 0.000
```

The following is a DFT calculation (meta-GGA SCAN) of a PBEsol-optimized structure of Mg2CuPb.

Output
Final energy   -25.222 eV per atom
Volume   20.2 Å³ per atom

Structure (POSCAR):
```
Mg2CuPb
1.0
3.567 0.000 0.000
0.000 3.567 0.000
0.000 0.000 6.352
Mg Cu Pb
2 1 1
Cartesian
1.784 1.784 1.474
0.000 0.000 6.130
1.784 1.784 5.014
0.000 0.000 3.261
```

The following is a DFT calculation (meta-GGA SCAN) of a PBEsol-optimized structure of Mg2CuPb.

Output
Final energy   -25.262 eV per atom
Volume   21.0 Å³ per atom

Structure (POSCAR):
```
Mg2CuPb
1.0
3.202 0.000 0.000
0.000 4.518 0.000
-1.601 -2.259 5.810
Pb Mg Cu
1 2 1
Cartesian
0.000 0.000 5.177
0.000 0.000 0.701
0.000 2.259 2.902
1.601 0.000 2.841
```